Density functional theory data (PBE+U) for a relaxed CsCoS2O8 crystal.

Calculated values
* crystal system: trigonal
* energy: -5.90 eV per atom
* size of the total moment: 0.342 μB per atom

Unit cell a=4.967 b=4.967 c=8.966 alpha=90.00 beta=90.00 gamma=120.00
Element x y z (fractional)
1 O 0.921 0.639 0.368
2 O 0.639 0.717 0.632
3 O 0.717 0.079 0.368
4 O 0.079 0.361 0.632
5 O 0.283 0.921 0.632
6 O 0.361 0.283 0.368
7 O 0.333 0.667 0.852
8 O 0.667 0.333 0.148
9 Cs 0.000 0.000 0.000
10 Co 0.000 0.000 0.500
11 S 0.333 0.667 0.689
12 S 0.667 0.333 0.311